Record 1
A plane-wave DFT calculation with PBE was carried out for Tb5SmTl2 after structural relaxation.

The space group is Immm (No. 71) and the conventional cell measures 3.6489, 10.5597 and 12.7092 Å, with angles of 90.00, 90.00 and 90.00 degrees. Symmetry generates all atoms from Tb at (0.0000, 0.0000, 0.0000), Tb at (0.0000, 0.2738, 0.3653), Sm at (0.0000, 0.5000, 0.0000) and Tl at (0.0000, 0.0000, 0.2625).

The uncorrected energy comes out at -4.1964 eV per atom.


Record 2
A plane-wave DFT calculation with PBE was carried out for LiCaTc2 after structural relaxation.

The space group is P2/m (No. 10) and the conventional cell measures 3.1392, 4.9209 and 4.6050 Å, with angles of 90.00, 102.24 and 90.00 degrees. Symmetry generates all atoms from Li at (0.0000, 0.0000, 0.0000), Ca at (0.5000, 0.0000, 0.5000) and Tc at (0.1652, 0.5000, 0.7811).

The uncorrected energy comes out at -5.7182 eV per atom.


Record 3
A plane-wave DFT calculation with PBE was carried out for Nd16Er6Tm7 after structural relaxation.

The space group is Fm-3m (No. 225) and the conventional cell measures 15.9313, 15.9313 and 15.9313 Å, with angles of 90.00, 90.00 and 90.00 degrees. Symmetry generates all atoms from Nd at (0.1248, 0.1248, 0.1248), Nd at (0.1482, 0.1482, 0.3518), Er at (0.0000, 0.0000, 0.2637), Tm at (0.0000, 0.0000, 0.0000) and Tm at (0.0000, 0.2500, 0.2500).

The uncorrected energy comes out at -4.4516 eV per atom.


Record 4
A plane-wave DFT calculation with PBE was carried out for Tb4NdRh after structural relaxation.

The space group is Cmcm (No. 63) and the conventional cell measures 5.5950, 18.4790 and 7.5396 Å, with angles of 90.00, 90.00 and 90.00 degrees. Symmetry generates all atoms from Tb at (0.0000, 0.0000, 0.0000), Tb at (0.0000, 0.2037, 0.0032), Tb at (0.0000, 0.3830, 0.2500), Nd at (0.0000, 0.3835, 0.7500) and Rh at (0.0000, 0.1016, 0.7500).

The uncorrected energy comes out at -5.2897 eV per atom.


Record 5
A plane-wave DFT calculation with PBE was carried out for Ac2InGe3Pd4 after structural relaxation.

The space group is P-4m2 (No. 115) and the conventional cell measures 4.4829, 4.4829 and 10.6830 Å, with angles of 90.00, 90.00 and 90.00 degrees. Symmetry generates all atoms from Ac at (0.0000, 0.5000, 0.2413), In at (0.0000, 0.0000, 0.5000), Ge at (0.0000, 0.5000, 0.8801), Ge at (0.5000, 0.5000, 0.5000), Pd at (0.0000, 0.0000, 0.0000), Pd at (0.0000, 0.5000, 0.6439) and Pd at (0.5000, 0.5000, 0.0000).

The uncorrected energy comes out at -5.3516 eV per atom.


Record 6
A plane-wave DFT calculation with PBE was carried out for Pr4SbTe2 after structural relaxation.

The space group is Cmcm (No. 63) and the conventional cell measures 4.3850, 14.6571 and 14.9220 Å, with angles of 90.00, 90.00 and 90.00 degrees. Symmetry generates all atoms from Pr at (0.0000, 0.0000, 0.0000), Pr at (0.0000, 0.2834, 0.1291), Pr at (0.0000, 0.4448, 0.7500), Sb at (0.0000, 0.0995, 0.7500) and Te at (0.0000, 0.3580, 0.5630).

The uncorrected formation energy comes out at -1.11 eV/atom.


Record 7
A plane-wave DFT calculation with PBE was carried out for LiOsW after structural relaxation.

The space group is F-43m (No. 216) and the conventional cell measures 5.8835, 5.8835 and 5.8835 Å, with angles of 90.00, 90.00 and 90.00 degrees. Symmetry generates all atoms from Li at (0.0000, 0.0000, 0.0000), Os at (0.2500, 0.2500, 0.2500) and W at (0.0000, 0.0000, 0.5000).

The uncorrected energy comes out at -8.0415 eV per atom.


Record 8
A plane-wave DFT calculation with PBE was carried out for Sm2SiPt after structural relaxation.

The space group is P2_1/m (No. 11) and the conventional cell measures 5.8660, 4.2827 and 8.1618 Å, with angles of 90.00, 110.84 and 90.00 degrees. Symmetry generates all atoms from Sm at (0.2186, 0.2500, 0.4385), Sm at (0.2198, 0.2500, 0.9167), Si at (0.3416, 0.7500, 0.2088) and Pt at (0.3624, 0.7500, 0.7143).

The uncorrected formation energy comes out at -0.95 eV/atom.


Record 9
A plane-wave DFT calculation with PBE was carried out for BeAlI2 after structural relaxation.

The space group is I-42d (No. 122) and the conventional cell measures 7.2896, 7.2896 and 10.1132 Å, with angles of 90.00, 90.00 and 90.00 degrees. Symmetry generates all atoms from Be at (0.0000, 0.0000, 0.0000), Al at (0.0000, 0.0000, 0.5000) and I at (0.1439, 0.2500, 0.1250).

The uncorrected formation energy comes out at 0.35 eV/atom.


Record 10
A plane-wave DFT calculation with PBE was carried out for RbCaZnIr2 after structural relaxation.

The space group is P4/mmm (No. 123) and the conventional cell measures 4.9812, 4.9812 and 5.2367 Å, with angles of 90.00, 90.00 and 90.00 degrees. Symmetry generates all atoms from Rb at (0.0000, 0.0000, 0.0000), Ca at (0.0000, 0.0000, 0.5000), Zn at (0.5000, 0.5000, 0.5000) and Ir at (0.0000, 0.5000, 0.0000).

The uncorrected energy comes out at -2.2812 eV per atom.


Record 11
A plane-wave DFT calculation with PBE was carried out for ScHPd3 after structural relaxation.

The space group is I-4m2 (No. 119) and the conventional cell measures 5.2934, 5.2934 and 10.4882 Å, with angles of 90.00, 90.00 and 90.00 degrees. Symmetry generates all atoms from Sc at (0.0000, 0.0000, 0.1637), H at (0.0000, 0.0000, 0.5000), H at (0.0000, 0.5000, 0.2500), Pd at (0.0000, 0.2529, 0.3819) and Pd at (0.0000, 0.5000, 0.6215).

The uncorrected energy comes out at -5.4438 eV per atom.


Record 12
A plane-wave DFT calculation with PBE was carried out for NdHo3Te6 after structural relaxation.

The space group is P2_1/m (No. 11) and the conventional cell measures 12.4816, 4.3799 and 12.8241 Å, with angles of 90.00, 109.32 and 90.00 degrees. Symmetry generates all atoms from Nd at (0.0470, 0.2500, 0.1973), Ho at (0.1556, 0.2500, 0.5824), Ho at (0.3176, 0.7500, 0.9985), Ho at (0.4354, 0.2500, 0.3346), Te at (0.0849, 0.7500, 0.4035), Te at (0.1156, 0.2500, 0.9680), Te at (0.1955, 0.7500, 0.7504), Te at (0.2580, 0.7500, 0.2226), Te at (0.3916, 0.2500, 0.5598) and Te at (0.4830, 0.2500, 0.1170).

The uncorrected formation energy comes out at -1.40 eV/atom.


Record 13
A plane-wave DFT calculation with PBE was carried out for Hg4Bi after structural relaxation.

The space group is C2/m (No. 12) and the conventional cell measures 9.3559, 3.5648 and 9.3933 Å, with angles of 90.00, 116.06 and 90.00 degrees. Symmetry generates all atoms from Hg at (0.1027, 0.0000, 0.4028), Hg at (0.1915, 0.5000, 0.7948) and Bi at (0.0000, 0.5000, 0.0000).

The uncorrected energy comes out at -0.9487 eV per atom.


Record 14
A plane-wave DFT calculation with PBE was carried out for V4PtN after structural relaxation.

The space group is Cmmm (No. 65) and the conventional cell measures 7.5698, 8.3872 and 2.7626 Å, with angles of 90.00, 90.00 and 90.00 degrees. Symmetry generates all atoms from V at (0.0000, 0.2367, 0.0000), V at (0.1784, 0.0000, 0.5000), Pt at (0.0000, 0.5000, 0.5000) and N at (0.0000, 0.0000, 0.0000).

The uncorrected formation energy comes out at -0.12 eV/atom.